{
  "formula": "Ho2Cu2Au",
  "functional": "PBE-GGA",
  "state": "relaxed",
  "formation_energy_mev_per_atom": -443.3,
  "vol_a3_per_cell": 206.2,
  "total_energy_ev_per_cell": -45.68,
  "de_polymorph_mev_per_atom": 13.7,
  "lattice_angstrom": [[4.012, 0.000, 0.000], [2.006, 5.207, 0.073], [2.006, 0.889, 9.885]],
  "species": ["Ho", "Ho", "Ho", "Ho", "Cu", "Cu", "Cu", "Cu", "Au", "Au"],
  "fractional_positions": [[0.313, 0.266, 0.108], [0.508, 0.321, 0.663], [0.687, 0.734, 0.892], [0.492, 0.679, 0.337], [0.969, 0.167, 0.894], [0.131, 0.289, 0.449], [0.031, 0.833, 0.106], [0.869, 0.711, 0.551], [0.787, 0.100, 0.325], [0.213, 0.900, 0.675]]
}



{
  "formula": "Si3Se",
  "functional": "PBE-GGA",
  "state": "relaxed",
  "raw_formation_energy_ev_per_atom": 0.261,
  "vol_a3_per_cell": 70.9,
  "total_energy_ev_per_cell": -18.71,
  "lattice_angstrom": [[3.630, 0.000, 0.000], [0.000, 2.621, -0.005], [0.000, 2.652, 7.442]],
  "species": ["Se", "Si", "Si", "Si"],
  "fractional_positions": [[0.000, 0.000, 0.000], [0.500, 0.267, 0.733], [0.000, 0.500, 0.500], [0.500, 0.733, 0.267]]
}



{
  "formula": "Ba3DyTi2O8",
  "functional": "PBE-GGA",
  "state": "relaxed",
  "raw_formation_energy_ev_per_atom": -2.987,
  "vol_a3_per_cell": 242.9,
  "total_energy_ev_per_cell": -107.64,
  "lattice_angstrom": [[-0.576, -2.443, 5.487], [0.579, -3.556, -4.840], [7.658, 0.095, 0.846]],
  "species": ["Ba", "Ba", "Ba", "Dy", "Ti", "Ti", "O", "O", "O", "O", "O", "O", "O", "O"],
  "fractional_positions": [[0.333, 0.667, 0.659], [0.667, 0.333, 0.341], [0.000, 0.000, 0.000], [0.000, 0.000, 0.500], [0.333, 0.667, 0.213], [0.667, 0.333, 0.787], [0.333, 0.667, 0.981], [0.667, 0.333, 0.019], [0.170, 0.830, 0.316], [0.830, 0.170, 0.684], [0.170, 0.340, 0.316], [0.830, 0.660, 0.684], [0.660, 0.830, 0.316], [0.340, 0.170, 0.684]]
}



{
  "formula": "DyMgGa2Pd4",
  "functional": "PBE-GGA",
  "state": "relaxed",
  "formation_energy_mev_per_atom": -748.1,
  "vol_a3_per_cell": 136.3,
  "total_energy_ev_per_cell": -39.01,
  "lattice_angstrom": [[-1.421, -0.756, -4.137], [-1.335, -4.065, -1.180], [-8.377, 0.194, 0.460]],
  "species": ["Dy", "Mg", "Ga", "Ga", "Pd", "Pd", "Pd", "Pd"],
  "fractional_positions": [[0.000, 0.000, 0.000], [0.500, 0.500, 0.500], [0.756, 0.756, 0.733], [0.244, 0.244, 0.267], [0.392, 0.392, 0.823], [0.874, 0.874, 0.378], [0.126, 0.126, 0.622], [0.608, 0.608, 0.177]]
}



{
  "formula": "AcMgH",
  "functional": "PBE-GGA",
  "state": "relaxed",
  "vol_a3_per_cell": 135.5,
  "total_energy_ev_per_cell": -19.36,
  "de_polymorph_mev_per_atom": 0.0,
  "lattice_angstrom": [[3.723, -0.011, -0.417], [-0.029, 3.723, -0.417], [-2.599, -2.611, 10.363]],
  "species": ["H", "H", "Ac", "Ac", "Mg", "Mg"],
  "fractional_positions": [[0.132, 0.132, 0.881], [0.868, 0.868, 0.119], [0.597, 0.597, 0.846], [0.403, 0.403, 0.154], [0.832, 0.832, 0.581], [0.168, 0.168, 0.419]]
}



{
  "formula": "ScRh2C",
  "functional": "PBE-GGA",
  "state": "relaxed",
  "formation_energy_mev_per_atom": -337.1,
  "vol_a3_per_cell": 117.1,
  "total_energy_ev_per_cell": -63.21,
  "lattice_angstrom": [[-6.463, -2.254, -0.207], [1.184, -3.900, 5.503], [-3.343, -1.196, 4.132]],
  "species": ["Sc", "Sc", "C", "C", "Rh", "Rh", "Rh", "Rh"],
  "fractional_positions": [[0.000, 0.000, 0.000], [0.750, 0.250, 0.500], [0.500, 0.500, 0.000], [0.250, 0.750, 0.500], [0.493, 0.125, 0.250], [0.257, 0.625, 0.250], [0.375, 0.507, 0.750], [0.875, 0.743, 0.750]]
}



{
  "formula": "Re2TcAs",
  "functional": "PBE-GGA",
  "state": "relaxed",
  "formation_energy_mev_per_atom": 248.4,
  "vol_a3_per_cell": 60.3,
  "total_energy_ev_per_cell": -38.92,
  "lattice_angstrom": [[2.902, 0.000, 0.000], [0.000, 4.013, 0.000], [0.000, 0.000, 5.175]],
  "species": ["Re", "Re", "As", "Tc"],
  "fractional_positions": [[0.000, 0.000, 0.018], [0.500, 0.500, 0.223], [0.500, 0.500, 0.730], [0.000, 0.000, 0.530]]
}



{
  "formula": "CeTmCoPt",
  "functional": "PBE-GGA",
  "state": "relaxed",
  "formation_energy_mev_per_atom": -594.6,
  "vol_a3_per_cell": 81.4,
  "total_energy_ev_per_cell": -25.93,
  "lattice_angstrom": [[-3.279, 1.786, -3.119], [-4.522, 0.966, 1.513], [-1.493, 4.612, 0.416]],
  "species": ["Tm", "Co", "Ce", "Pt"],
  "fractional_positions": [[0.500, 0.500, 0.500], [0.750, 0.750, 0.750], [0.000, 0.000, 0.000], [0.250, 0.250, 0.250]]
}



{
  "formula": "RbAs2S",
  "functional": "PBE-GGA",
  "state": "relaxed",
  "raw_formation_energy_ev_per_atom": 0.117,
  "vol_a3_per_cell": 247.8,
  "total_energy_ev_per_cell": -27.85,
  "lattice_angstrom": [[-6.157, -5.152, -0.770], [3.338, -4.817, 5.541], [-3.299, -3.137, 5.129]],
  "species": ["As", "As", "As", "As", "S", "S", "Rb", "Rb"],
  "fractional_positions": [[0.492, 0.125, 0.250], [0.258, 0.625, 0.250], [0.375, 0.508, 0.750], [0.875, 0.742, 0.750], [0.500, 0.500, 0.000], [0.250, 0.750, 0.500], [0.000, 0.000, 0.000], [0.750, 0.250, 0.500]]
}



{
  "formula": "ReBSe2N",
  "functional": "PBE-GGA",
  "state": "relaxed",
  "raw_formation_energy_ev_per_atom": 1.127,
  "vol_a3_per_cell": 93.6,
  "total_energy_ev_per_cell": -28.78,
  "de_polymorph_mev_per_atom": 365.5,
  "lattice_angstrom": [[5.014, 0.000, 0.000], [0.000, 5.014, 0.000], [0.000, 0.000, 3.723]],
  "species": ["Re", "B", "Se", "Se", "N"],
  "fractional_positions": [[0.000, 0.000, 0.000], [0.500, 0.500, 0.500], [0.000, 0.500, 0.000], [0.500, 0.000, 0.000], [0.000, 0.000, 0.500]]
}



{
  "formula": "TiV4Re",
  "functional": "PBE-GGA",
  "state": "relaxed",
  "formation_energy_mev_per_atom": -133.9,
  "vol_a3_per_cell": 169.9,
  "total_energy_ev_per_cell": -115.24,
  "de_polymorph_mev_per_atom": 2.7,
  "lattice_angstrom": [[-3.075, -2.372, 1.971], [3.465, -1.526, 3.570], [-0.038, 5.113, 6.095]],
  "species": ["Ti", "Ti", "V", "V", "V", "V", "V", "V", "V", "V", "Re", "Re"],
  "fractional_positions": [[0.750, 0.374, 0.253], [0.250, 0.626, 0.747], [0.250, 0.454, 0.428], [0.250, 0.793, 0.082], [0.750, 0.034, 0.592], [0.750, 0.706, 0.917], [0.750, 0.546, 0.572], [0.250, 0.966, 0.408], [0.750, 0.207, 0.918], [0.250, 0.294, 0.083], [0.750, 0.876, 0.249], [0.250, 0.124, 0.751]]
}



{
  "formula": "Ac3Ga2Hg7",
  "functional": "PBE-GGA",
  "state": "relaxed",
  "formation_energy_mev_per_atom": -367.9,
  "vol_a3_per_cell": 334.2,
  "total_energy_ev_per_cell": -24.91,
  "lattice_angstrom": [[-2.920, 0.205, 3.707], [-3.372, -2.595, -2.513], [7.231, -10.904, 6.299]],
  "species": ["Ac", "Ac", "Ac", "Ga", "Ga", "Hg", "Hg", "Hg", "Hg", "Hg", "Hg", "Hg"],
  "fractional_positions": [[0.500, 0.500, 0.000], [0.000, 0.180, 0.354], [0.000, 0.820, 0.646], [0.500, 0.631, 0.268], [0.500, 0.369, 0.732], [0.500, 0.727, 0.452], [0.500, 0.273, 0.548], [0.000, 0.587, 0.168], [0.000, 0.000, 0.000], [0.000, 0.413, 0.832], [0.500, 0.918, 0.834], [0.500, 0.082, 0.166]]
}



{
  "formula": "LaCe2Pu",
  "functional": "PBE-GGA",
  "state": "relaxed",
  "formation_energy_mev_per_atom": 112.9,
  "vol_a3_per_cell": 112.9,
  "total_energy_ev_per_cell": -30.68,
  "de_polymorph_mev_per_atom": 0.0,
  "lattice_angstrom": [[3.413, 0.000, 0.000], [0.000, 3.413, 0.000], [0.000, 0.000, 9.689]],
  "species": ["La", "Ce", "Ce", "Pu"],
  "fractional_positions": [[0.500, 0.500, 0.500], [0.000, 0.000, 0.777], [0.000, 0.000, 0.223], [0.500, 0.500, 0.000]]
}



{
  "formula": "Ho5BiTe5",
  "functional": "PBE-GGA",
  "state": "relaxed",
  "raw_formation_energy_ev_per_atom": -1.272,
  "vol_a3_per_cell": 347.8,
  "total_energy_ev_per_cell": -56.47,
  "lattice_angstrom": [[6.178, 0.000, 0.000], [-3.089, 6.842, -0.071], [0.000, -2.640, 8.256]],
  "species": ["Ho", "Ho", "Ho", "Ho", "Ho", "Bi", "Te", "Te", "Te", "Te", "Te"],
  "fractional_positions": [[0.833, 0.667, 0.171], [0.835, 0.669, 0.663], [0.500, 0.000, 0.000], [0.165, 0.331, 0.337], [0.167, 0.333, 0.829], [0.000, 0.000, 0.000], [0.662, 0.324, 0.337], [0.666, 0.332, 0.829], [0.000, 0.000, 0.500], [0.334, 0.668, 0.171], [0.338, 0.676, 0.663]]
}



{
  "formula": "Li22Si5",
  "functional": "PBE-GGA",
  "state": "relaxed",
  "raw_formation_energy_ev_per_atom": -0.193,
  "vol_a3_per_cell": 1618.9,
  "total_energy_ev_per_cell": -297.74,
  "lattice_angstrom": [[-6.881, 8.767, -7.036], [1.087, 0.220, -13.133], [-10.057, -4.016, -7.513]],
  "species": ["Li", "Li", "Li", "Li", "Li", "Li", "Li", "Li", "Li", "Li", "Li", "Li", "Li", "Li", "Li", "Li", "Li", "Li", "Li", "Li", "Li", "Li", "Li", "Li", "Li", "Li", "Li", "Li", "Li", "Li", "Li", "Li", "Li", "Li", "Li", "Li", "Li", "Li", "Li", "Li", "Li", "Li", "Li", "Li", "Li", "Li", "Li", "Li", "Li", "Li", "Li", "Li", "Li", "Li", "Li", "Li", "Li", "Li", "Li", "Li", "Li", "Li", "Li", "Li", "Li", "Li", "Li", "Li", "Li", "Li", "Li", "Li", "Li", "Li", "Li", "Li", "Li", "Li", "Li", "Li", "Li", "Li", "Li", "Li", "Li", "Li", "Li", "Li", "Si", "Si", "Si", "Si", "Si", "Si", "Si", "Si", "Si", "Si", "Si", "Si", "Si", "Si", "Si", "Si", "Si", "Si", "Si", "Si"],
  "fractional_positions": [[0.250, 0.250, 0.250], [0.770, 0.077, 0.077], [0.077, 0.077, 0.770], [0.077, 0.077, 0.077], [0.077, 0.770, 0.077], [0.078, 0.078, 0.422], [0.422, 0.422, 0.078], [0.078, 0.422, 0.422], [0.422, 0.078, 0.078], [0.078, 0.422, 0.078], [0.422, 0.078, 0.422], [0.167, 0.167, 0.833], [0.833, 0.833, 0.167], [0.167, 0.833, 0.833], [0.833, 0.167, 0.167], [0.167, 0.833, 0.167], [0.833, 0.167, 0.833], [0.256, 0.569, 0.256], [0.256, 0.919, 0.256], [0.919, 0.256, 0.569], [0.569, 0.256, 0.919], [0.256, 0.256, 0.919], [0.256, 0.256, 0.569], [0.919, 0.569, 0.256], [0.569, 0.919, 0.256], [0.256, 0.919, 0.569], [0.256, 0.569, 0.919], [0.919, 0.256, 0.256], [0.569, 0.256, 0.256], [0.421, 0.757, 0.066], [0.066, 0.757, 0.421], [0.757, 0.066, 0.757], [0.757, 0.421, 0.757], [0.421, 0.066, 0.757], [0.066, 0.421, 0.757], [0.757, 0.757, 0.421], [0.757, 0.757, 0.066], [0.421, 0.757, 0.757], [0.066, 0.757, 0.757], [0.757, 0.421, 0.066], [0.757, 0.066, 0.421], [0.809, 0.172, 0.509], [0.509, 0.509, 0.809], [0.509, 0.509, 0.172], [0.172, 0.809, 0.509], [0.809, 0.509, 0.509], [0.509, 0.809, 0.172], [0.509, 0.172, 0.809], [0.172, 0.509, 0.509], [0.809, 0.509, 0.172], [0.509, 0.172, 0.509], [0.509, 0.809, 0.509], [0.172, 0.509, 0.809], [0.328, 0.671, 0.000], [0.000, 0.000, 0.328], [0.000, 0.000, 0.671], [0.671, 0.328, 0.000], [0.328, 0.000, 0.000], [0.000, 0.328, 0.671], [0.000, 0.671, 0.328], [0.671, 0.000, 0.000], [0.328, 0.000, 0.671], [0.000, 0.671, 0.000], [0.000, 0.328, 0.000], [0.671, 0.000, 0.328], [0.750, 0.750, 0.750], [0.500, 0.500, 0.500], [0.000, 0.000, 0.000], [0.036, 0.321, 0.321], [0.321, 0.321, 0.036], [0.321, 0.321, 0.321], [0.321, 0.036, 0.321], [0.747, 0.418, 0.418], [0.418, 0.418, 0.747], [0.418, 0.418, 0.418], [0.418, 0.747, 0.418], [0.275, 0.575, 0.575], [0.575, 0.575, 0.275], [0.575, 0.575, 0.575], [0.575, 0.275, 0.575], [0.980, 0.673, 0.673], [0.673, 0.673, 0.980], [0.673, 0.673, 0.673], [0.673, 0.980, 0.673], [0.502, 0.833, 0.833], [0.833, 0.833, 0.502], [0.833, 0.833, 0.833], [0.833, 0.502, 0.833], [0.515, 0.162, 0.162], [0.162, 0.162, 0.515], [0.162, 0.162, 0.162], [0.162, 0.515, 0.162], [0.250, 0.917, 0.917], [0.917, 0.917, 0.250], [0.917, 0.917, 0.917], [0.917, 0.250, 0.917], [0.926, 0.926, 0.574], [0.574, 0.574, 0.926], [0.926, 0.574, 0.574], [0.574, 0.926, 0.926], [0.926, 0.574, 0.926], [0.574, 0.926, 0.574], [0.676, 0.676, 0.324], [0.324, 0.324, 0.676], [0.676, 0.324, 0.324], [0.324, 0.676, 0.676], [0.676, 0.324, 0.676], [0.324, 0.676, 0.324]]
}



{
  "formula": "LiAcGd2",
  "functional": "PBE-GGA",
  "state": "relaxed",
  "formation_energy_mev_per_atom": 242.9,
  "vol_a3_per_cell": 142.1,
  "total_energy_ev_per_cell": -33.21,
  "de_polymorph_mev_per_atom": 165.9,
  "lattice_angstrom": [[3.627, 0.000, 0.000], [1.813, 3.141, 0.000], [1.813, 1.047, 12.476]],
  "species": ["Ac", "Gd", "Gd", "Li"],
  "fractional_positions": [[0.500, 0.500, 0.500], [0.087, 0.087, 0.739], [0.913, 0.913, 0.261], [0.000, 0.000, 0.000]]
}



{
  "formula": "Ba2SrMgP",
  "functional": "PBE-GGA",
  "state": "relaxed",
  "formation_energy_mev_per_atom": -415.5,
  "vol_a3_per_cell": 234.5,
  "total_energy_ev_per_cell": -14.61,
  "lattice_angstrom": [[-3.313, -1.975, 4.993], [-1.244, -5.425, -2.972], [4.877, -2.377, 2.296]],
  "species": ["Sr", "Mg", "Ba", "Ba", "P"],
  "fractional_positions": [[0.000, 0.000, 0.500], [0.500, 0.500, 0.500], [0.000, 0.500, 0.000], [0.500, 0.000, 0.000], [0.000, 0.000, 0.000]]
}



{
  "formula": "TmTcBiO6",
  "functional": "PBE-GGA",
  "state": "relaxed",
  "raw_formation_energy_ev_per_atom": -1.890,
  "vol_a3_per_cell": 126.7,
  "total_energy_ev_per_cell": -65.48,
  "lattice_angstrom": [[5.477, 0.000, 0.000], [2.739, 4.743, 0.000], [0.000, 0.000, 4.876]],
  "species": ["Tm", "Tc", "Bi", "O", "O", "O", "O", "O", "O"],
  "fractional_positions": [[0.667, 0.667, 0.500], [0.333, 0.333, 0.500], [0.000, 0.000, 0.000], [0.035, 0.342, 0.275], [0.342, 0.035, 0.725], [0.623, 0.342, 0.725], [0.035, 0.623, 0.725], [0.342, 0.623, 0.275], [0.623, 0.035, 0.275]]
}



{
  "formula": "TaMnP2",
  "functional": "PBE-GGA",
  "state": "relaxed",
  "formation_energy_mev_per_atom": -286.6,
  "vol_a3_per_cell": 55.1,
  "total_energy_ev_per_cell": -32.99,
  "de_polymorph_mev_per_atom": 329.3,
  "lattice_angstrom": [[4.312, -0.042, -0.067], [0.151, 4.310, 0.067], [-1.812, -2.573, 2.950]],
  "species": ["Mn", "P", "P", "Ta"],
  "fractional_positions": [[0.250, 0.750, 0.500], [0.037, 0.037, 0.000], [0.463, 0.463, 0.000], [0.750, 0.250, 0.500]]
}



{
  "formula": "SiH",
  "functional": "PBE-GGA",
  "state": "relaxed",
  "vol_a3_per_cell": 20.0,
  "total_energy_ev_per_cell": -8.15,
  "de_polymorph_mev_per_atom": 297.0,
  "lattice_angstrom": [[2.566, 0.001, 0.046], [-0.001, 3.479, -0.001], [1.214, 0.001, 2.261]],
  "species": ["H", "Si"],
  "fractional_positions": [[0.144, 0.479, 0.671], [0.144, 0.979, 0.671]]
}



{
  "formula": "Ta2AlSi",
  "functional": "PBE-GGA",
  "state": "relaxed",
  "raw_formation_energy_ev_per_atom": -0.213,
  "vol_a3_per_cell": 65.2,
  "total_energy_ev_per_cell": -33.72,
  "de_polymorph_mev_per_atom": 16.6,
  "lattice_angstrom": [[2.859, -0.021, 0.000], [-0.749, 2.759, 0.000], [0.000, 0.000, 8.274]],
  "species": ["Si", "Al", "Ta", "Ta"],
  "fractional_positions": [[0.500, 0.500, 0.750], [0.500, 0.500, 0.250], [0.000, 0.000, 0.988], [0.000, 0.000, 0.512]]
}